[1]
Here is a relaxed structure of BaAl3Ag3 from Alexandria via LeMat-Bulk. Energies are from GGA-PBE.

abc: 7.187 7.187 8.973
angles: 66.39 66.39 60.00
Positions (direct):
Ag 0.062 0.907 0.665
Ag 0.634 0.938 0.335
Ag 0.907 0.366 0.665
Ag 0.366 0.062 0.665
Ag 0.938 0.093 0.335
Ag 0.093 0.634 0.335
Ba 0.316 0.316 0.051
Ba 0.684 0.684 0.949
Al 0.654 0.207 0.647
Al 0.346 0.793 0.353
Al 0.492 0.654 0.647
Al 0.207 0.492 0.647
Al 0.508 0.346 0.353
Al 0.793 0.508 0.353

- Space group: No. 148

[2]
Here is a relaxed structure of Ba3Al9Ag2 from Alexandria via LeMat-Bulk. Energies are from GGA-PBE.

abc: 4.713 8.901 8.901
angles: 70.50 74.65 74.65
Positions (direct):
Ba 0.000 0.000 0.000
Ba 0.698 0.302 0.302
Ba 0.302 0.698 0.698
Al 0.860 0.862 0.419
Al 0.140 0.581 0.138
Al 0.662 0.698 0.978
Al 0.000 0.500 0.500
Al 0.662 0.978 0.698
Al 0.860 0.419 0.862
Al 0.338 0.302 0.022
Al 0.140 0.138 0.581
Al 0.338 0.022 0.302
Ag 0.500 0.704 0.296
Ag 0.500 0.296 0.704

- Space group: No. 71

[3]
Here is a relaxed structure of BaAlAg3 from Alexandria via LeMat-Bulk. Energies are from GGA-PBE.

abc: 6.185 6.185 6.185
angles: 90.00 90.00 90.00
Positions (direct):
Ba 0.000 0.000 0.000
Ag 0.000 0.000 0.500
Ag 0.000 0.500 0.000
Ag 0.500 0.000 0.000
Al 0.500 0.500 0.500

- Space group: No. 221
- Polymorph energy (0 for the lowest one): 1232.4 meV per atom

[4]
Here is a relaxed structure of BaAl3Ag6 from Alexandria via LeMat-Bulk. Energies are from GGA-PBE.

abc: 7.107 8.388 7.320
angles: 108.71 90.00 90.00
Positions (direct):
Al 0.845 0.551 0.830
Al 0.655 0.051 0.330
Al 0.000 0.000 0.500
Al 0.155 0.449 0.170
Al 0.345 0.949 0.670
Al 0.500 0.500 0.000
Ba 0.000 0.000 0.000
Ba 0.500 0.500 0.500
Ag 0.195 0.620 0.879
Ag 0.305 0.120 0.379
Ag 0.314 0.763 0.282
Ag 0.466 0.179 0.040
Ag 0.686 0.237 0.718
Ag 0.814 0.737 0.218
Ag 0.805 0.380 0.121
Ag 0.034 0.679 0.540
Ag 0.534 0.821 0.960
Ag 0.186 0.263 0.782
Ag 0.695 0.880 0.621
Ag 0.966 0.321 0.460

- Space group: No. 14

[5]
Here is a relaxed structure of BaAl4Ag4 from Alexandria via LeMat-Bulk. Energies are from GGA-PBE.

abc: 6.361 6.361 9.308
angles: 90.00 90.00 90.00
Positions (direct):
Ba 0.500 0.500 0.500
Ba 0.000 0.000 0.000
Ag 0.500 0.217 0.808
Ag 0.500 0.783 0.808
Ag 0.783 0.500 0.192
Ag 0.217 0.500 0.192
Ag 0.717 0.000 0.308
Ag 0.000 0.283 0.692
Ag 0.000 0.717 0.692
Ag 0.283 0.000 0.308
Al 0.500 0.771 0.096
Al 0.729 0.000 0.596
Al 0.271 0.000 0.596
Al 0.771 0.500 0.904
Al 0.000 0.271 0.404
Al 0.000 0.729 0.404
Al 0.229 0.500 0.904
Al 0.500 0.229 0.096

- Space group: No. 137

[6]
Here is a relaxed structure of BaAlAg2 from Alexandria via LeMat-Bulk. Energies are from GGA-PBE.

abc: 4.779 4.322 5.772
angles: 77.97 90.00 90.00
Positions (direct):
Ag 0.500 0.286 0.267
Ag 0.000 0.022 0.110
Ba 0.500 0.747 0.747
Al 0.000 0.444 0.375

- Space group: No. 6

[7]
Here is a relaxed structure of BaAl12Ag6 from Alexandria via LeMat-Bulk. Energies are from GGA-PBE.

abc: 7.477 7.477 7.477
angles: 104.12 104.12 104.12
Positions (direct):
Ag 0.280 0.718 0.280
Ag 0.720 0.282 0.720
Ag 0.280 0.280 0.718
Ag 0.282 0.720 0.720
Ag 0.718 0.280 0.280
Ag 0.720 0.720 0.282
Al 0.500 0.111 0.889
Al 0.151 0.400 0.400
Al 0.600 0.600 0.849
Al 0.849 0.600 0.600
Al 0.889 0.111 0.500
Al 0.600 0.849 0.600
Al 0.111 0.500 0.889
Al 0.111 0.889 0.500
Al 0.889 0.500 0.111
Al 0.400 0.151 0.400
Al 0.500 0.889 0.111
Al 0.400 0.400 0.151
Ba 0.000 0.000 0.000

- Space group: No. 166

[8]
Here is a relaxed structure of BaAl12Ag7 from Alexandria via LeMat-Bulk. Energies are from GGA-PBE.

abc: 7.037 8.249 8.249
angles: 112.25 106.52 106.52
Positions (direct):
Ag 0.820 0.350 0.000
Ag 0.470 0.650 0.650
Ag 0.180 0.650 0.000
Ag 0.530 0.350 0.350
Ag 0.820 0.000 0.350
Ag 0.180 0.000 0.650
Ag 0.500 0.000 0.000
Ba 0.000 0.000 0.000
Al 0.431 0.000 0.334
Al 0.569 0.666 0.000
Al 0.259 0.517 0.259
Al 0.741 0.483 0.741
Al 0.000 0.741 0.259
Al 0.096 0.666 0.666
Al 0.000 0.259 0.741
Al 0.741 0.741 0.483
Al 0.431 0.334 0.000
Al 0.904 0.334 0.334
Al 0.569 0.000 0.666
Al 0.259 0.259 0.517

- Space group: No. 166

[9]
Here is a relaxed structure of BaAlAg2 from Alexandria via LeMat-Bulk. Energies are from GGA-PBE.

abc: 4.723 6.390 7.249
angles: 90.00 90.00 90.00
Positions (direct):
Al 0.500 0.634 0.500
Al 0.000 0.366 0.000
Ba 0.500 0.879 0.000
Ba 0.000 0.121 0.500
Ag 0.000 0.616 0.302
Ag 0.000 0.616 0.698
Ag 0.500 0.384 0.802
Ag 0.500 0.384 0.198

- Space group: No. 59

[10]
Here is a relaxed structure of Ba2Al3Ag5 from Alexandria via LeMat-Bulk. Energies are from GGA-PBE.

abc: 6.508 9.295 9.295
angles: 73.97 69.51 69.51
Positions (direct):
Ag 0.600 0.741 0.060
Ag 0.750 0.500 0.500
Ag 0.472 0.778 0.778
Ag 0.900 0.940 0.259
Ag 0.400 0.259 0.940
Ag 0.972 0.778 0.778
Ag 0.028 0.222 0.222
Ag 0.528 0.222 0.222
Ag 0.250 0.500 0.500
Ag 0.100 0.060 0.741
Al 0.863 0.735 0.539
Al 0.637 0.461 0.265
Al 0.750 0.000 0.000
Al 0.137 0.265 0.461
Al 0.363 0.539 0.735
Al 0.250 0.000 0.000
Ba 0.135 0.597 0.134
Ba 0.365 0.866 0.403
Ba 0.635 0.134 0.597
Ba 0.865 0.403 0.866

- Space group: No. 72

[11]
Here is a relaxed structure of BaAl12Ag4 from Alexandria via LeMat-Bulk. Energies are from GGA-PBE.

abc: 7.864 7.864 7.864
angles: 109.47 109.47 109.47
Positions (direct):
Al 0.846 0.355 0.201
Al 0.154 0.355 0.509
Al 0.355 0.509 0.154
Al 0.645 0.491 0.846
Al 0.154 0.645 0.799
Al 0.509 0.154 0.355
Al 0.645 0.799 0.154
Al 0.491 0.846 0.645
Al 0.201 0.846 0.355
Al 0.846 0.645 0.491
Al 0.355 0.201 0.846
Al 0.799 0.154 0.645
Ag 0.000 0.500 0.000
Ag 0.500 0.500 0.500
Ag 0.500 0.000 0.000
Ag 0.000 0.000 0.500
Ba 0.000 0.000 0.000

- Space group: No. 204

[12]
Here is a relaxed structure of BaAlAg2 from Alexandria via LeMat-Bulk. Energies are from GGA-PBE.

abc: 4.653 4.653 7.950
angles: 54.17 54.17 59.93
Positions (direct):
Ba 0.375 0.375 0.250
Ag 0.767 0.767 0.663
Ag 0.983 0.983 0.837
Al 0.375 0.375 0.750

- Space group: No. 166

The DFT formation energy results, record by record, are as follows: -0.05, -0.17, 1.06, -0.09, -0.17, -0.05, -0.01, 0.01, -0.23, -0.20, 0.19, -0.23 eV per atom.
The total DFT energy (no corrections) results, record by record, are as follows: -3.150, -3.392, -1.787, -3.118, -3.314, -2.896, -3.377, -3.334, -3.067, -3.130, -3.232, -3.075 eV per atom.